(1)
Entry from Alexandria via LeMat-Bulk: a geometry-optimized KSnBr4 structure (PBE).

Cell: 10.495 10.495 9.699 Å, 101.65 101.65 30.92°
Element x y z (fractional)
K 0.206 0.206 0.268
K 0.794 0.794 0.732
Sn 0.089 0.089 0.670
Sn 0.911 0.911 0.330
Br 0.052 0.052 0.356
Br 0.114 0.114 0.949
Br 0.223 0.223 0.633
Br 0.407 0.407 0.349
Br 0.593 0.593 0.651
Br 0.777 0.777 0.367
Br 0.886 0.886 0.051
Br 0.948 0.948 0.644

Calculated values
The uncorrected formation energy is -0.98 eV/atom. As for the space group: C2/m (12). The calculated total energy comes out at -2.948 eV/atom.


(2)
Entry from Alexandria via LeMat-Bulk: a geometry-optimized BeRe2Ru structure (PBE).

Cell: 2.705 4.086 4.952 Å, 90.00 99.96 90.00°
Element x y z (fractional)
Be 0.000 0.000 0.000
Re 0.345 0.000 0.501
Re 0.557 0.500 0.218
Ru 0.947 0.500 0.758

Calculated values
The energy of formation comes out at 0.048 eV/atom. As for the space group: Pm (6). The offset from the most stable computed form comes out at 118 meV/atom. The calculated total energy comes out at -9.426 eV/atom.


(3)
Entry from Alexandria via LeMat-Bulk: a geometry-optimized PuMg5Tl3 structure (PBE).

Cell: 8.994 8.994 6.215 Å, 90.00 90.00 120.00°
Element x y z (fractional)
Pu 0.000 0.000 0.000
Pu 0.000 0.000 0.500
Mg 0.000 0.343 0.250
Mg 0.000 0.657 0.750
Mg 0.333 0.667 0.000
Mg 0.333 0.667 0.500
Mg 0.343 0.000 0.250
Mg 0.343 0.343 0.750
Mg 0.657 0.000 0.750
Mg 0.657 0.657 0.250
Mg 0.667 0.333 0.000
Mg 0.667 0.333 0.500
Tl 0.000 0.332 0.750
Tl 0.000 0.668 0.250
Tl 0.332 0.000 0.750
Tl 0.332 0.332 0.250
Tl 0.668 0.000 0.250
Tl 0.668 0.668 0.750

Calculated values
The energy of formation comes out at -0.054 eV/atom. As for the space group: P6_3/mcm (193). The calculated total energy comes out at -3.321 eV/atom.


(4)
Entry from Alexandria via LeMat-Bulk: a geometry-optimized Y4FeTe structure (PBE).

Cell: 6.271 6.271 6.271 Å, 60.00 60.00 60.00°
Element x y z (fractional)
Y 0.124 0.124 0.124
Y 0.124 0.124 0.628
Y 0.124 0.628 0.124
Y 0.628 0.124 0.124
Fe 0.750 0.750 0.750
Te 0.500 0.500 0.500

Calculated values
The uncorrected formation energy is 0.53 eV/atom. As for the space group: F-43m (216). The offset from the most stable computed form comes out at 974 meV/atom. The calculated total energy comes out at -5.717 eV/atom.


(5)
Entry from Alexandria via LeMat-Bulk: a geometry-optimized YCuSi2 structure (PBE).

Cell: 3.318 3.318 6.312 Å, 90.00 90.00 90.00°
Element x y z (fractional)
Y 0.000 0.000 0.000
Cu 0.000 0.000 0.500
Si 0.500 0.500 0.313
Si 0.500 0.500 0.687

Calculated values
The uncorrected formation energy is -0.15 eV/atom. As for the space group: P4/mmm (123). The calculated total energy comes out at -5.505 eV/atom.


(6)
Entry from Alexandria via LeMat-Bulk: a geometry-optimized Al3TlRe structure (PBE).

Cell: 4.886 4.886 4.886 Å, 90.00 90.00 90.00°
Element x y z (fractional)
Al 0.000 0.000 0.500
Al 0.000 0.500 0.000
Al 0.500 0.000 0.000
Tl 0.500 0.500 0.500
Re 0.000 0.000 0.000

Calculated values
The energy of formation comes out at 0.216 eV/atom. As for the space group: Pm-3m (221). The offset from the most stable computed form comes out at 0 meV/atom. The calculated total energy comes out at -4.992 eV/atom.


(7)
Entry from Alexandria via LeMat-Bulk: a geometry-optimized AgHg2F3 structure (PBE).

Cell: 3.658 7.938 8.883 Å, 104.94 101.77 103.08°
Element x y z (fractional)
Ag 0.052 0.454 0.149
Ag 0.948 0.546 0.851
Hg 0.110 0.263 0.457
Hg 0.161 0.051 0.768
Hg 0.839 0.949 0.232
Hg 0.890 0.737 0.543
F 0.287 0.760 0.314
F 0.337 0.534 0.641
F 0.387 0.274 0.996
F 0.613 0.726 0.004
F 0.663 0.466 0.359
F 0.713 0.240 0.686

Calculated values
The uncorrected formation energy is -1.10 eV/atom. As for the space group: P-1 (2). The offset from the most stable computed form comes out at 0 meV/atom. The calculated total energy comes out at -2.610 eV/atom.


(8)
Entry from Alexandria via LeMat-Bulk: a geometry-optimized CoMoPdAu2 structure (PBE).

Cell: 5.005 5.005 4.487 Å, 90.00 90.00 90.00°
Element x y z (fractional)
Co 0.000 0.000 0.000
Mo 0.500 0.500 0.000
Pd 0.000 0.000 0.500
Au 0.000 0.500 0.500
Au 0.500 0.000 0.500

Calculated values
The energy of formation comes out at 1.424 eV/atom. As for the space group: P4/mmm (123). The calculated total energy comes out at -4.513 eV/atom.


(9)
Entry from Alexandria via LeMat-Bulk: a geometry-optimized La2Ni4As3Pt structure (PBE).

Cell: 4.202 4.202 9.844 Å, 90.00 90.00 90.00°
Element x y z (fractional)
La 0.000 0.500 0.249
La 0.500 0.000 0.751
Ni 0.000 0.000 0.000
Ni 0.000 0.500 0.636
Ni 0.500 0.000 0.364
Ni 0.500 0.500 0.000
As 0.000 0.500 0.875
As 0.500 0.000 0.125
As 0.500 0.500 0.500
Pt 0.000 0.000 0.500

Calculated values
The energy of formation comes out at -0.787 eV/atom. As for the space group: P-4m2 (115). The calculated total energy comes out at -6.084 eV/atom.


(10)
Entry from Alexandria via LeMat-Bulk: a geometry-optimized Ru2PbCl structure (PBE).

Cell: 6.609 6.609 6.609 Å, 90.00 90.00 90.00°
Element x y z (fractional)
Ru 0.000 0.000 0.000
Ru 0.000 0.500 0.500
Ru 0.250 0.250 0.250
Ru 0.250 0.750 0.750
Ru 0.500 0.000 0.500
Ru 0.500 0.500 0.000
Ru 0.750 0.250 0.750
Ru 0.750 0.750 0.250
Pb 0.250 0.250 0.750
Pb 0.250 0.750 0.250
Pb 0.750 0.250 0.250
Pb 0.750 0.750 0.750
Cl 0.000 0.000 0.500
Cl 0.000 0.500 0.000
Cl 0.500 0.000 0.000
Cl 0.500 0.500 0.500

Calculated values
The uncorrected formation energy is 0.89 eV/atom. As for the space group: F-43m (216). The offset from the most stable computed form comes out at 729 meV/atom. The calculated total energy comes out at -5.132 eV/atom.